# 1
Compound: TbPr2Sm2Y
Source: Alexandria
Functional: PBE-GGA
Structure: relaxed

Results
* DFT formation energy: 0.05 eV per atom
* crystal system: orthorhombic
* theoretical density: 6.8 g/cm3
* spin magnetization: 0.00 μB/f.u.

Cell: 7.126 5.736 9.944 Å, 90.00 90.00 90.00°
Space group Pmma (No. 51)
Symmetry-distinct sites (fractional):
Tb 0.250 0.000 0.160 x2
Pr 0.000 0.000 0.500 x2
Pr 0.250 0.500 0.676 x2
Sm 0.250 0.000 0.832 x2
Sm 0.250 0.500 0.337 x2
Y 0.000 0.500 0.000 x2

# 2
Compound: TbPr3Sm6Y2
Source: Alexandria
Functional: PBE-GGA
Structure: relaxed

Results
* DFT formation energy: 0.02 eV per atom
* crystal system: monoclinic
* theoretical density: 6.8 g/cm3
* spin magnetization: 0.00 μB/f.u.

Cell: 6.304 10.918 12.052 Å, 90.00 100.04 90.00°
Space group C2/m (No. 12)
Symmetry-distinct sites (fractional):
Tb 0.000 0.000 0.000 x2
Pr 0.000 0.167 0.500 x4
Pr 0.000 0.500 0.500 x2
Sm 0.248 0.166 0.246 x8
Sm 0.249 0.500 0.246 x4
Y 0.000 0.333 0.000 x4

# 3
Compound: Tb2Pr2SmY4
Source: Alexandria
Functional: PBE-GGA
Structure: relaxed

Results
* DFT formation energy: 0.00 eV per atom
* crystal system: monoclinic
* theoretical density: 6.1 g/cm3
* spin magnetization: 0.00 μB/f.u.

Cell: 18.886 3.640 9.664 Å, 90.00 115.72 90.00°
Space group C2/m (No. 12)
Symmetry-distinct sites (fractional):
Tb 0.148 0.000 0.163 x4
Pr 0.166 0.500 0.499 x4
Sm 0.000 0.000 0.500 x2
Y 0.019 0.500 0.836 x4
Y 0.186 0.000 0.836 x4

# 4
Compound: Tb4PrSm2Y2
Source: Alexandria
Functional: PBE-GGA
Structure: relaxed

Results
* DFT formation energy: 0.00 eV per atom
* crystal system: monoclinic
* theoretical density: 7.0 g/cm3
* spin magnetization: 0.00 μB/f.u.

Cell: 18.829 3.627 9.639 Å, 90.00 115.71 90.00°
Space group C2/m (No. 12)
Symmetry-distinct sites (fractional):
Tb 0.019 0.000 0.336 x4
Tb 0.186 0.500 0.336 x4
Pr 0.000 0.500 0.000 x2
Sm 0.167 0.000 0.001 x4
Y 0.147 0.500 0.665 x4

# 5
Compound: TbPr2SmY2
Source: Alexandria
Functional: PBE-GGA
Structure: relaxed

Results
* DFT formation energy: 0.27 eV per atom
* crystal system: orthorhombic
* theoretical density: 6.1 g/cm3
* spin magnetization: 0.00 μB/f.u.

Cell: 6.690 18.206 3.418 Å, 90.00 90.00 90.00°
Space group Pnnm (No. 58)
Symmetry-distinct sites (fractional):
Tb 0.000 0.000 0.000 x2
Pr 0.229 0.184 0.000 x4
Sm 0.000 0.500 0.000 x2
Y 0.227 0.353 0.500 x4

# 6
Compound: Tb6PrSm2Y3
Source: Alexandria
Functional: PBE-GGA
Structure: relaxed

Results
* DFT formation energy: 0.02 eV per atom
* crystal system: monoclinic
* theoretical density: 7.0 g/cm3
* spin magnetization: 0.00 μB/f.u.

Cell: 6.218 10.763 11.891 Å, 90.00 99.99 90.00°
Space group C2/m (No. 12)
Symmetry-distinct sites (fractional):
Tb 0.248 0.167 0.248 x8
Tb 0.249 0.500 0.248 x4
Pr 0.000 0.500 0.500 x2
Sm 0.000 0.167 0.500 x4
Y 0.000 0.000 0.000 x2
Y 0.000 0.333 0.000 x4

# 7
Compound: Tb2PrSm2Y
Source: Alexandria
Functional: PBE-GGA
Structure: relaxed

Results
* DFT formation energy: 0.26 eV per atom
* crystal system: orthorhombic
* theoretical density: 6.9 g/cm3
* spin magnetization: 0.00 μB/f.u.

Cell: 6.679 17.835 3.427 Å, 90.00 90.00 90.00°
Space group Pnnm (No. 58)
Symmetry-distinct sites (fractional):
Tb 0.232 0.181 0.000 x4
Pr 0.000 0.000 0.000 x2
Sm 0.227 0.349 0.500 x4
Y 0.000 0.500 0.000 x2

# 8
Compound: TbPrSmZn
Source: Alexandria
Functional: PBE-GGA
Structure: relaxed

Results
* DFT formation energy: -0.16 eV per atom
* crystal system: tetragonal
* theoretical density: 7.4 g/cm3
* spin magnetization: 0.00 μB/f.u.
* polymorph energy (0 for the lowest one): 0 meV per atom

Cell: 3.629 3.629 8.821 Å, 90.00 90.00 90.00°
Space group P4mm (No. 99)
Symmetry-distinct sites (fractional):
Tb 0.000 0.000 0.000 x1
Pr 0.500 0.500 0.706 x1
Sm 0.000 0.000 0.406 x1
Zn 0.500 0.500 0.196 x1